(1)
VASP calculation (PBE) on an optimized crystal structure of YAg2W.

Output
- ΔH_f (0 K): 1.42 eV/f.u.
- Total magnetic moment: 0.000 μB/cell
- Relative energy among the computed polymorphs: 0 meV per atom

a = 2.9504 Å, b = 2.9504 Å, c = 8.9548 Å
α = 90.00°, β = 90.00°, γ = 90.00°
Last column: nearest neighbours and their distance in Å.
Space group P4mm (No. 99)
Unique sites:
Y  0.0000  0.0000  0.0000 [1 per cell]  4 Y 2.95, 4 W 3.13, 4 Ag 3.23
Ag  0.0000  0.0000  0.5117 [1 per cell]  4 W 2.92, 8 Ag 2.95-2.97
Ag  0.5000  0.5000  0.2751 [1 per cell]  8 Ag 2.95-2.97, 4 Y 3.23
W  0.5000  0.5000  0.7397 [1 per cell]  4 Ag 2.92, 4 W 2.95, 4 Y 3.13

***

(2)
VASP calculation (PBE) on an optimized crystal structure of Np2PaFeS5.

Output
- Formation energy (no corrections): -125 kJ per mole of atoms
- Total magnetic moment: 26.716 μB/cell

a = 3.7137 Å, b = 16.2439 Å, c = 11.8046 Å
α = 90.00°, β = 90.00°, γ = 90.00°
Last column: nearest neighbours and their distance in Å.
Space group Cmc2_1 (No. 36)
Unique sites:
Np  0.0000  0.1056  0.0000 [4 per cell]  7 S 2.74-2.98
Np  0.0000  0.1200  0.3434 [4 per cell]  8 S 2.79-3.04
Pa  0.0000  0.1766  0.6721 [4 per cell]  6 S 2.69-2.75, 2 Fe 2.91
Fe  0.0000  0.4418  0.0739 [4 per cell]  4 S 2.23-2.29
S  0.0000  0.0110  0.6676 [4 per cell]  2 Fe 2.29
S  0.0000  0.3073  0.3428 [4 per cell]  2 Pa 2.75, 3 Np 2.98-3.04
S  0.0000  0.3133  0.0014 [4 per cell]  1 Fe 2.26
S  0.0000  0.3434  0.6684 [4 per cell]  1 Pa 2.71, 4 Np 2.84
S  0.0000  0.4997  0.4032 [4 per cell]  1 Fe 2.23

***

(3)
VASP calculation (PBE) on an optimized crystal structure of TiAlGa2.

Output
- ΔH_f (0 K): -0.22 eV/f.u.
- Total magnetic moment: 0.004 μB/cell

a = 2.9532 Å, b = 2.9532 Å, c = 28.6238 Å
α = 90.00°, β = 90.00°, γ = 120.00°
Last column: nearest neighbours and their distance in Å.
Space group R-3m (No. 166, hexagonal axes)
Unique sites:
Ti  0.0000  0.0000  0.0000 [3 per cell]  6 Ga 2.77, 6 Ti 2.95
Al  0.0000  0.0000  0.5000 [3 per cell]  2 Ga 2.58
Ga  0.0000  0.0000  0.4097 [6 per cell]  1 Al 2.58, 3 Ti 2.77

***

(4)
VASP calculation (PBE) on an optimized crystal structure of AcPr2Nd.

Output
- ΔH_f (0 K): 0.40 eV/f.u.
- Total magnetic moment: 0.002 μB/cell
- Relative energy among the computed polymorphs: 83 meV per atom

a = 4.3983 Å, b = 4.3983 Å, c = 7.8173 Å
α = 90.00°, β = 90.00°, γ = 90.00°
Last column: nearest neighbours and their distance in Å.
Space group P4/mmm (No. 123)
Unique sites:
Ac  0.0000  0.0000  0.0000 [1 per cell]  8 Pr 3.77, 2 Nd 3.91
Pr  0.5000  0.5000  0.2728 [2 per cell]  1 Pr 3.55, 4 Nd 3.58, 4 Ac 3.77
Nd  0.0000  0.0000  0.5000 [1 per cell]  8 Pr 3.58, 2 Ac 3.91

***

(5)
VASP calculation (PBE) on an optimized crystal structure of YTcAs4.

Output
- ΔH_f (0 K): 1.74 eV/f.u.
- Total magnetic moment: 7.863 μB/cell

a = 7.8195 Å, b = 7.8195 Å, c = 7.8195 Å
α = 90.00°, β = 90.00°, γ = 90.00°
Last column: nearest neighbours and their distance in Å.
Space group F-43m (No. 216)
Unique sites:
Y  0.0000  0.0000  0.0000 [4 per cell]  12 As 3.24, 4 Tc 3.39
Tc  0.2500  0.2500  0.2500 [4 per cell]  12 As 3.24, 4 Y 3.39
As  0.1242  0.1242  0.6242 [16 per cell]  6 As 2.75-2.78

***

(6)
VASP calculation (PBE) on an optimized crystal structure of TaMoSe.

Output
- Formation energy (no corrections): 21 kJ per mole of atoms
- Total magnetic moment: 0.000 μB/cell
- Relative energy among the computed polymorphs: 310 meV per atom

a = 3.3779 Å, b = 4.9725 Å, c = 12.7270 Å
α = 90.00°, β = 90.00°, γ = 90.00°
Last column: nearest neighbours and their distance in Å.
Space group Fmm2 (No. 42)
Unique sites:
Ta  0.0000  0.0000  0.0000 [4 per cell]  2 Mo 2.62, 2 Se 2.71
Mo  0.0000  0.0000  0.6576 [4 per cell]  2 Ta 2.62, 2 Se 2.81
Se  0.0000  0.0000  0.3336 [4 per cell]  2 Ta 2.71, 2 Mo 2.81, 4 Se 3.01

***

What did the fourth record say?
VASP calculation (PBE) on an optimized crystal structure of AcPr2Nd.

Output
- ΔH_f (0 K): 0.40 eV/f.u.
- Total magnetic moment: 0.002 μB/cell
- Relative energy among the computed polymorphs: 83 meV per atom

a = 4.3983 Å, b = 4.3983 Å, c = 7.8173 Å
α = 90.00°, β = 90.00°, γ = 90.00°
Last column: nearest neighbours and their distance in Å.
Space group P4/mmm (No. 123)
Unique sites:
Ac  0.0000  0.0000  0.0000 [1 per cell]  8 Pr 3.77, 2 Nd 3.91
Pr  0.5000  0.5000  0.2728 [2 per cell]  1 Pr 3.55, 4 Nd 3.58, 4 Ac 3.77
Nd  0.0000  0.0000  0.5000 [1 per cell]  8 Pr 3.58, 2 Ac 3.91